A plane-wave DFT calculation with PBE-GGA was carried out for a relaxed CuSi3Ru crystal.

abc: 4.598 4.598 4.598
angles: 90.00 90.00 90.00
Positions (direct):
Si: 0.500 0.000 0.000
Si: 0.000 0.000 0.500
Ru: 0.000 0.000 0.000
Si: 0.000 0.500 0.000
Cu: 0.500 0.500 0.500

Crystal system: cubic
SG: No. 221
Raw formation energy: 0.606 eV per atom

***

A plane-wave DFT calculation with PBE-GGA was carried out for a relaxed CuSiRu crystal.

abc: 3.960 3.960 2.845
angles: 90.00 90.00 120.00
Positions (direct):
Si: 0.667 0.333 0.714
Ru: 0.333 0.667 0.392
Cu: 0.000 0.000 0.894

Crystal system: trigonal
SG: No. 156
Raw formation energy: -0.204 eV per atom

***

Number 1: offset from the most stable computed form 0 meV/atom. Number 2: offset from the most stable computed form 22 meV/atom.